# 1
DFT (PBE) results for a relaxed structure of Li5PdAu.

Unit cell a=5.242 b=5.242 c=9.574 alpha=99.63 beta=99.63 gamma=59.53
Element x y z (fractional)
Li (0.142, 0.332, 0.679)
Li (0.175, 0.825, 0.750)
Li (0.306, 0.409, 0.969)
Li (0.332, 0.142, 0.179)
Li (0.409, 0.306, 0.469)
Li (0.591, 0.694, 0.531)
Li (0.668, 0.858, 0.821)
Li (0.694, 0.591, 0.031)
Li (0.825, 0.175, 0.250)
Li (0.858, 0.668, 0.321)
Pd (0.000, 0.000, 0.000)
Pd (0.000, 0.000, 0.500)
Au (0.325, 0.675, 0.250)
Au (0.675, 0.325, 0.750)

Output
- Space group: C2/c
- Energy above the lowest structure with this stoichiometry: 11 meV per atom


# 2
DFT (PBE) results for a relaxed structure of LiPd3Au.

Unit cell a=4.963 b=7.262 c=5.058 alpha=90.00 beta=114.40 gamma=90.00
Element x y z (fractional)
Li (0.152, 0.250, 0.336)
Li (0.848, 0.750, 0.664)
Pd (0.175, 0.250, 0.838)
Pd (0.314, 0.566, 0.138)
Pd (0.314, 0.934, 0.138)
Pd (0.686, 0.066, 0.862)
Pd (0.686, 0.434, 0.862)
Pd (0.825, 0.750, 0.162)
Au (0.335, 0.750, 0.639)
Au (0.665, 0.250, 0.361)

Output
- Space group: P2_1/m
- Energy above the lowest structure with this stoichiometry: 144 meV per atom


# 3
DFT (PBE) results for a relaxed structure of LiPdAu.

Unit cell a=8.797 b=4.074 c=5.524 alpha=90.00 beta=109.06 gamma=90.00
Element x y z (fractional)
Li (0.000, 0.000, 0.000)
Li (0.171, 0.500, 0.813)
Li (0.500, 0.500, 0.000)
Li (0.671, 0.000, 0.813)
Pd (0.004, 0.000, 0.495)
Pd (0.329, 0.000, 0.154)
Pd (0.504, 0.500, 0.495)
Pd (0.829, 0.500, 0.154)
Au (0.163, 0.500, 0.307)
Au (0.343, 0.000, 0.671)
Au (0.663, 0.000, 0.307)
Au (0.843, 0.500, 0.671)

Output
- Space group: Cm
- Energy above the lowest structure with this stoichiometry: 46 meV per atom


# 4
DFT (PBE) results for a relaxed structure of LiPdAu.

Unit cell a=8.693 b=4.006 c=5.578 alpha=90.00 beta=106.28 gamma=90.00
Element x y z (fractional)
Li (0.160, 0.000, 0.321)
Li (0.340, 0.500, 0.679)
Li (0.660, 0.500, 0.321)
Li (0.840, 0.000, 0.679)
Pd (0.000, 0.500, 0.000)
Pd (0.000, 0.500, 0.500)
Pd (0.500, 0.000, 0.000)
Pd (0.500, 0.000, 0.500)
Au (0.166, 0.000, 0.819)
Au (0.334, 0.500, 0.181)
Au (0.666, 0.500, 0.819)
Au (0.834, 0.000, 0.181)

Output
- Space group: C2/m
- Energy above the lowest structure with this stoichiometry: 20 meV per atom


# 5
DFT (PBE) results for a relaxed structure of Li3Pd7Au.

Unit cell a=5.515 b=5.515 c=6.614 alpha=90.00 beta=90.00 gamma=120.00
Element x y z (fractional)
Li (0.002, 0.501, 0.000)
Li (0.499, 0.501, 0.000)
Li (0.499, 0.998, 0.000)
Pd (0.165, 0.331, 0.320)
Pd (0.165, 0.835, 0.320)
Pd (0.330, 0.165, 0.687)
Pd (0.333, 0.667, 0.676)
Pd (0.669, 0.835, 0.320)
Pd (0.835, 0.165, 0.687)
Pd (0.835, 0.670, 0.687)
Au (0.667, 0.333, 0.323)

Output
- Space group: P3m1


# 6
DFT (PBE) results for a relaxed structure of LiPd3Au.

Unit cell a=5.020 b=5.020 c=5.020 alpha=90.00 beta=90.00 gamma=90.00
Element x y z (fractional)
Li (0.000, 0.000, 0.000)
Pd (0.000, 0.500, 0.500)
Pd (0.500, 0.000, 0.500)
Pd (0.500, 0.500, 0.000)
Au (0.500, 0.500, 0.500)

Output
- Space group: Pm-3m
- Energy above the lowest structure with this stoichiometry: 957 meV per atom


# 7
DFT (PBE) results for a relaxed structure of Li4PdAu2.

Unit cell a=4.665 b=4.665 c=11.067 alpha=90.00 beta=90.00 gamma=90.00
Element x y z (fractional)
Li (0.000, 0.500, 0.000)
Li (0.000, 0.500, 0.250)
Li (0.000, 0.500, 0.500)
Li (0.000, 0.500, 0.750)
Li (0.500, 0.000, 0.000)
Li (0.500, 0.000, 0.250)
Li (0.500, 0.000, 0.500)
Li (0.500, 0.000, 0.750)
Pd (0.000, 0.000, 0.000)
Pd (0.500, 0.500, 0.500)
Au (0.000, 0.000, 0.372)
Au (0.000, 0.000, 0.628)
Au (0.500, 0.500, 0.128)
Au (0.500, 0.500, 0.872)

Output
- Space group: I4/mmm
- Energy above the lowest structure with this stoichiometry: 194 meV per atom


# 8
DFT (PBE) results for a relaxed structure of Li9Pd11Au4.

Unit cell a=11.342 b=11.342 c=2.852 alpha=90.00 beta=90.00 gamma=105.44
Element x y z (fractional)
Li (0.000, 0.000, 0.000)
Li (0.100, 0.653, 0.000)
Li (0.305, 0.497, 0.000)
Li (0.347, 0.900, 0.000)
Li (0.497, 0.305, 0.000)
Li (0.503, 0.695, 0.000)
Li (0.653, 0.100, 0.000)
Li (0.695, 0.503, 0.000)
Li (0.900, 0.347, 0.000)
Pd (0.110, 0.462, 0.500)
Pd (0.137, 0.863, 0.500)
Pd (0.301, 0.301, 0.500)
Pd (0.305, 0.695, 0.500)
Pd (0.462, 0.110, 0.500)
Pd (0.500, 0.500, 0.500)
Pd (0.538, 0.890, 0.500)
Pd (0.695, 0.305, 0.500)
Pd (0.699, 0.699, 0.500)
Pd (0.863, 0.137, 0.500)
Pd (0.890, 0.538, 0.500)
Au (0.078, 0.241, 0.000)
Au (0.241, 0.078, 0.000)
Au (0.759, 0.922, 0.000)
Au (0.922, 0.759, 0.000)

Output
- Space group: Cmmm


# 9
DFT (PBE) results for a relaxed structure of LiPdAu6.

Unit cell a=5.714 b=8.177 c=6.505 alpha=90.00 beta=115.09 gamma=90.00
Element x y z (fractional)
Li (0.000, 0.000, 0.000)
Li (0.500, 0.500, 0.000)
Pd (0.000, 0.500, 0.000)
Pd (0.500, 0.000, 0.000)
Au (0.129, 0.250, 0.759)
Au (0.129, 0.750, 0.759)
Au (0.247, 0.500, 0.493)
Au (0.253, 0.000, 0.507)
Au (0.371, 0.250, 0.241)
Au (0.371, 0.750, 0.241)
Au (0.629, 0.250, 0.759)
Au (0.629, 0.750, 0.759)
Au (0.747, 0.000, 0.493)
Au (0.753, 0.500, 0.507)
Au (0.871, 0.250, 0.241)
Au (0.871, 0.750, 0.241)

Output
- Space group: C2/m
- Energy above the lowest structure with this stoichiometry: 6 meV per atom


# 10
DFT (PBE) results for a relaxed structure of Li2PdAu6.

Unit cell a=6.825 b=6.825 c=8.068 alpha=90.00 beta=90.00 gamma=90.00
Element x y z (fractional)
Li (0.000, 0.000, 0.183)
Li (0.000, 0.000, 0.817)
Li (0.500, 0.500, 0.317)
Li (0.500, 0.500, 0.683)
Pd (0.000, 0.000, 0.500)
Pd (0.500, 0.500, 0.000)
Au (0.222, 0.222, 0.000)
Au (0.243, 0.243, 0.332)
Au (0.243, 0.243, 0.668)
Au (0.257, 0.743, 0.168)
Au (0.257, 0.743, 0.832)
Au (0.278, 0.722, 0.500)
Au (0.722, 0.278, 0.500)
Au (0.743, 0.257, 0.168)
Au (0.743, 0.257, 0.832)
Au (0.757, 0.757, 0.332)
Au (0.757, 0.757, 0.668)
Au (0.778, 0.778, 0.000)

Output
- Space group: P4_2/mnm
- Energy above the lowest structure with this stoichiometry: 400 meV per atom


# 11
DFT (PBE) results for a relaxed structure of Li2Pd5Au5.

Unit cell a=6.318 b=6.318 c=9.009 alpha=115.22 beta=115.22 gamma=37.03
Element x y z (fractional)
Li (0.082, 0.082, 0.252)
Li (0.918, 0.918, 0.748)
Pd (0.334, 0.334, 0.502)
Pd (0.417, 0.417, 0.251)
Pd (0.500, 0.500, 0.000)
Pd (0.583, 0.583, 0.749)
Pd (0.666, 0.666, 0.498)
Au (0.000, 0.000, 0.500)
Au (0.161, 0.161, 0.998)
Au (0.256, 0.256, 0.746)
Au (0.744, 0.744, 0.254)
Au (0.839, 0.839, 0.002)

Output
- Space group: C2/m
- Energy above the lowest structure with this stoichiometry: 24 meV per atom


# 12
DFT (PBE) results for a relaxed structure of Li2PdAu8.

Unit cell a=7.634 b=7.634 c=6.479 alpha=104.76 beta=104.76 gamma=30.84
Element x y z (fractional)
Li (0.225, 0.225, 0.147)
Li (0.775, 0.775, 0.853)
Pd (0.500, 0.500, 0.500)
Au (0.046, 0.046, 0.229)
Au (0.141, 0.141, 0.694)
Au (0.318, 0.318, 0.592)
Au (0.402, 0.402, 0.045)
Au (0.598, 0.598, 0.955)
Au (0.682, 0.682, 0.408)
Au (0.859, 0.859, 0.306)
Au (0.954, 0.954, 0.771)

Output
- Space group: C2/m
- Energy above the lowest structure with this stoichiometry: 0 meV per atom


DFT formation energy across the listed records, respectively: -299 -102 -386 -412 -165 711 -242 -344 -200 105 -248 -254 meV per atom.
DOS at the Fermi energy across the listed records, respectively: 3.95 12.22 4.57 4.34 6.74 4.31 1.24 8.38 4.44 6.60 7.09 3.42 states/eV/cell.
V across the listed records, respectively: 15.89 16.60 15.59 15.54 15.84 25.30 17.20 14.73 17.20 20.88 16.12 16.97 Å³/atom.